# 1
# CePuAu, optimized geometry, DFT PBE
# energy above the lowest structure with this stoichiometry = 0.0859 eV/atom
# formation energy = -0.24 eV/atom
# crystal system = hexagonal
data_CePuAu
_cell_length_a 5.0381
_cell_length_b 5.0381
_cell_length_c 3.0382
_cell_angle_alpha 90.00
_cell_angle_beta 90.00
_cell_angle_gamma 120.00
_space_group_name_H-M_alt 'P -6 m 2'
_space_group_IT_number 187
_space_group_name_Hall 'P -6 2'
loop_
_atom_site_label
_atom_site_fract_x
_atom_site_fract_y
_atom_site_fract_z
Ce1 0.0000 0.0000 0.0000
Pu1 0.6667 0.3333 0.0000
Au1 0.3333 0.6667 0.5000



# 2
# Nd7SiS5, optimized geometry, DFT PBE
# crystal system = monoclinic
# energy relative to the elements, uncorrected = -1688 meV per atom
data_Nd7SiS5
_cell_length_a 13.339
_cell_length_b 4.096
_cell_length_c 24.084
_cell_angle_alpha 90.00
_cell_angle_beta 90.01
_cell_angle_gamma 90.00
_space_group_name_H-M_alt 'C 1 2/m 1'
_space_group_IT_number 12
loop_
_space_group_symop_operation_xyz
'x,y,z'
'-x,-y,-z'
'-x,y,-z'
'x,-y,z'
'x+1/2,y+1/2,z'
'-x+1/2,-y+1/2,-z'
'-x+1/2,y+1/2,-z'
'x+1/2,-y+1/2,z'
loop_
_atom_site_label
_atom_site_fract_x
_atom_site_fract_y
_atom_site_fract_z
Nd1 0.035 0.000 0.250
Nd2 0.092 0.500 0.113
Nd3 0.092 0.500 0.387
Nd4 0.137 0.000 0.537
Nd5 0.137 0.000 0.963
Nd6 0.187 0.500 0.822
Nd7 0.188 0.500 0.678
Si1 0.194 0.500 0.250
S1 0.000 0.500 0.000
S2 0.000 0.500 0.500
S3 0.048 0.000 0.643
S4 0.048 0.000 0.857
S5 0.226 0.000 0.072
S6 0.226 0.000 0.428



# 3
# TaInRu2, optimized geometry, DFT PBE
# formation energy = 0.43 eV/atom
# crystal system = tetragonal
data_TaInRu2
_cell_length_a 7.099
_cell_length_b 7.099
_cell_length_c 5.855
_cell_angle_alpha 90.00
_cell_angle_beta 90.00
_cell_angle_gamma 90.00
_space_group_name_H-M_alt 'I -4 2 d'
_space_group_IT_number 122
_space_group_name_Hall 'I -4 2bw'
loop_
_atom_site_label
_atom_site_fract_x
_atom_site_fract_y
_atom_site_fract_z
Ta1 0.000 0.000 0.000
In1 0.000 0.000 0.500
Ru1 0.218 0.250 0.125



# 4
# NbPd6Pt2, optimized geometry, DFT PBE
# energy above the lowest structure with this stoichiometry = 0.0000 eV/atom
# formation energy = -0.31 eV/atom
# crystal system = monoclinic
data_NbPd6Pt2
_cell_length_a 11.877
_cell_length_b 3.959
_cell_length_c 6.281
_cell_angle_alpha 90.00
_cell_angle_beta 108.19
_cell_angle_gamma 90.00
_space_group_name_H-M_alt 'C 1 2/m 1'
_space_group_IT_number 12
loop_
_space_group_symop_operation_xyz
'x,y,z'
'-x,-y,-z'
'-x,y,-z'
'x,-y,z'
'x+1/2,y+1/2,z'
'-x+1/2,-y+1/2,-z'
'-x+1/2,y+1/2,-z'
'x+1/2,-y+1/2,z'
loop_
_atom_site_label
_atom_site_fract_x
_atom_site_fract_y
_atom_site_fract_z
Nb1 0.000 0.000 0.000
Pd1 0.111 0.000 0.671
Pd2 0.164 0.500 0.002
Pd3 0.221 0.000 0.331
Pt1 0.053 0.500 0.327



# 5
# BaCaAg, optimized geometry, DFT PBE
# energy above the lowest structure with this stoichiometry = 0.6326 eV/atom
# formation energy = 0.44 eV/atom
# crystal system = cubic
data_BaCaAg
_cell_length_a 8.014
_cell_length_b 8.014
_cell_length_c 8.014
_cell_angle_alpha 90.00
_cell_angle_beta 90.00
_cell_angle_gamma 90.00
_space_group_name_H-M_alt 'F -4 3 m'
_space_group_IT_number 216
_space_group_name_Hall 'F -4 2 3'
loop_
_atom_site_label
_atom_site_fract_x
_atom_site_fract_y
_atom_site_fract_z
Ba1 0.000 0.000 0.000
Ca1 0.250 0.250 0.250
Ag1 0.250 0.250 0.750



# 6
# PmDy6Tl2, optimized geometry, DFT PBE
# energy above the lowest structure with this stoichiometry = 0.6843 eV/atom
# formation energy = 0.54 eV/atom
# crystal system = tetragonal
data_PmDy6Tl2
_cell_length_a 5.626
_cell_length_b 5.626
_cell_length_c 21.090
_cell_angle_alpha 90.00
_cell_angle_beta 90.00
_cell_angle_gamma 90.00
_space_group_name_H-M_alt 'I -4 2 m'
_space_group_IT_number 121
_space_group_name_Hall 'I -4 2'
loop_
_atom_site_label
_atom_site_fract_x
_atom_site_fract_y
_atom_site_fract_z
Pm1 0.000 0.000 0.000
Dy1 0.000 0.500 0.250
Dy2 0.194 0.194 0.567
Tl1 0.000 0.000 0.310



no.,density of states at the Fermi level (states/eV per cell),total magnetization (μB/f.u.),raw total energy (eV per atom)
1,7.30,5.84,-8.087
2,30.32,0.00,-6.260
3,7.15,0.00,-7.855
4,19.59,0.00,-6.238
5,13.08,0.00,-1.821
6,21.56,0.00,-3.581